[1]
Below is a geometry-optimized Na2Re3S6 structure, with properties calculated at the GGA-PBEsol level.

The structure in POSCAR format:
```
Na2Re3S6
1.0
-6.9957 5.3235 2.7980
-8.5604 -2.8399 -1.9398
-0.9021 -5.5909 9.9311
Na Re S
8 12 24
Cartesian
-10.1857 -1.7814 11.6707
-6.2725 -1.3258 -0.8814
-7.5571 2.1732 4.2637
-10.5830 -3.4118 4.1365
-8.1322 -0.8268 2.5225
-8.3260 -2.2804 8.2668
-8.9010 -5.2804 6.5257
-5.8752 0.3046 6.6528
-10.9590 1.1856 5.1046
-3.1219 -3.7668 4.7547
-2.2227 1.3666 1.1460
-5.1740 -2.4127 3.8792
-13.3363 0.6596 6.0347
-4.4767 1.4841 2.4495
-11.1550 0.4220 0.9701
-11.2842 -0.6945 6.9101
-14.2355 -4.4738 9.6434
-5.3032 -3.5292 9.8192
-5.4992 -4.2928 5.6847
-11.9815 -4.5913 8.3399
-10.0326 -5.3611 9.5681
-5.5192 -1.2126 9.2175
-15.4547 0.1134 5.0370
-5.9275 -2.9005 1.6500
-10.6445 -3.0735 6.9621
-5.8137 -0.0337 3.8273
-12.0874 -0.8793 4.6481
-6.5642 -4.3918 7.8860
-12.3993 -2.9488 10.0350
-13.3021 0.4840 2.0164
-15.9265 -2.7904 9.9397
-0.5317 -0.3168 0.8497
-2.9550 -2.0996 3.0507
-7.3598 -3.0621 4.7240
-9.0984 -0.0451 6.0653
-10.9390 -1.8946 1.5719
-3.1561 -3.5912 8.7729
-4.0589 -0.1584 0.7544
-9.8939 1.2846 2.9034
-6.4256 2.2539 1.2213
-4.3708 -2.2279 6.1413
-13.5032 -1.0076 7.7387
-1.0035 -3.2206 5.7523
-10.5307 -0.2067 9.1394
```

Values from the calculation:
Total moment ... 0.00 μB/f.u.
Energy ... -7.04 eV/atom
Raw formation energy ... -0.76 eV/atom

[2]
Below is a geometry-optimized BiTe2Br4 structure, with properties calculated at the GGA-PBEsol level.

The structure in POSCAR format:
```
BiTe2Br4
1.0
7.3862 -0.3527 0.2574
-1.0188 7.6730 -0.3029
-1.6499 -0.6380 9.1531
Te Br Bi
4 8 2
Cartesian
4.6878 4.0325 7.8504
0.9211 5.0240 0.3159
0.0297 2.6498 1.2572
3.7964 1.6583 8.7917
2.3718 0.2814 2.9600
4.7624 7.1106 1.0117
-0.0449 -0.4282 8.0959
-1.4247 5.4210 4.2467
6.1422 1.2613 4.8609
1.9231 2.5991 6.4411
2.3457 6.4009 6.1476
2.7944 4.0832 2.6665
1.0063 0.1226 5.5766
3.7112 6.5598 3.5310
```

Values from the calculation:
Total moment ... 0.00 μB/f.u.
Energy ... -3.13 eV/atom
Raw formation energy ... -0.44 eV/atom

[3]
Below is a geometry-optimized CsGeSe2 structure, with properties calculated at the GGA-PBEsol level.

The structure in POSCAR format:
```
CsGeSe2
1.0
-6.4652 -0.7603 0.6202
-2.8604 -5.4761 -2.3583
1.2504 -6.5904 5.0720
Cs Se Ge
2 4 2
Cartesian
-7.8213 -4.6593 -1.1499
-0.6785 -6.1680 2.9008
-6.4386 -3.7281 1.9509
-3.4609 -5.2184 0.7366
-6.2678 -7.5471 0.0487
-3.6630 -8.5851 2.8672
-4.0184 -7.5358 0.8312
-4.2442 -4.3353 2.9101
```

Values from the calculation:
Total moment ... 0.00 μB/f.u.
Energy ... -4.09 eV/atom
Raw formation energy ... -0.70 eV/atom

[4]
Below is a geometry-optimized SrInPt2 structure, with properties calculated at the GGA-PBEsol level.

The structure in POSCAR format:
```
SrInPt2
1.0
-2.5331 -2.0487 1.1138
0.5164 -2.0957 -2.6805
4.5684 -3.6280 3.7165
In Pt Sr
1 2 1
Cartesian
1.2758 -3.8862 1.0749
3.2139 -2.5524 2.6146
1.3544 -1.0756 1.1019
-1.0083 -2.0722 -0.7834
```

Values from the calculation:
E_form ... -0.50 eV/atom
Total moment ... 0.00 μB/f.u.
Energy ... -5.19 eV/atom

[5]
Below is a geometry-optimized Li2AgHg structure, with properties calculated at the GGA-PBEsol level.

The structure in POSCAR format:
```
Li2AgHg
1.0
3.0262 0.0000 0.0000
1.5131 2.6208 0.0000
1.5131 0.8736 9.3021
Ag Hg Li
1 1 2
Cartesian
3.0262 1.7472 4.7230
1.5131 0.8736 2.2891
4.5393 2.6208 0.1114
4.5393 2.6208 6.8296
```

Values from the calculation:
E_form ... -0.11 eV/atom
Total moment ... 0.00 μB/f.u.
Energy ... -2.06 eV/atom

[6]
Below is a geometry-optimized Mg2TiCu structure, with properties calculated at the GGA-PBEsol level.

The structure in POSCAR format:
```
Mg2TiCu
1.0
-1.8272 0.3410 4.1405
-2.3602 -3.4684 1.7316
1.7101 -2.4152 3.4411
Ti Cu Mg
1 1 2
Cartesian
0.0000 0.0000 0.0000
-1.2387 -2.7713 4.6566
-1.8580 -4.1569 6.9849
-0.6193 -1.3856 2.3283
```

Values from the calculation:
E_form ... 0.25 eV/atom
Total moment ... 0.34 μB/f.u.
Energy ... -3.77 eV/atom